VASP calculation (GGA-PBE) on crystalline ErBiSb at its relaxed geometry.

Cell and atoms, written as POSCAR:
```
ErBiSb
1.0
-3.003 -2.053 1.715
-0.592 -2.004 -3.436
5.170 -1.614 2.404
Bi Sb Er
1 1 1
direct
0.940 0.940 0.881
0.638 0.638 0.276
0.272 0.272 0.543
```

Calculated values
Space-group type = No. 107
Formation energy without anion corrections = -536 meV/atom
Energy above the lowest structure with this stoichiometry = 11.1 meV/atom

VASP calculation (GGA-PBE) on crystalline Er3BiSb2 at its relaxed geometry.

Cell and atoms, written as POSCAR:
```
Er3BiSb2
1.0
-0.560 -7.560 0.133
5.412 0.775 -5.267
1.610 1.278 7.308
Sb Er Bi
4 6 2
direct
0.250 0.916 0.084
0.750 0.084 0.916
0.250 0.252 0.748
0.750 0.748 0.252
0.498 0.328 0.158
0.500 0.000 0.500
0.998 0.158 0.328
0.502 0.672 0.842
0.000 0.500 0.000
0.002 0.842 0.672
0.750 0.418 0.582
0.250 0.582 0.418
```

Calculated values
Space-group type = No. 15
Formation energy without anion corrections = -999 meV/atom

VASP calculation (GGA-PBE) on crystalline Er4Bi3Sb at its relaxed geometry.

Cell and atoms, written as POSCAR:
```
Er4Bi3Sb
1.0
6.248 0.000 0.000
0.000 6.248 0.000
0.000 0.000 6.248
Bi Er Sb
3 4 1
direct
0.500 0.500 0.000
0.500 0.000 0.500
0.000 0.500 0.500
0.500 0.500 0.500
0.000 0.000 0.500
0.000 0.500 0.000
0.500 0.000 0.000
0.000 0.000 0.000
```

Calculated values
Space-group type = No. 221
Formation energy without anion corrections = -884 meV/atom

Quick rundown of VASP energy, same order as above: -4.724 -5.301 -5.137 eV per atom